(1)
Compound: NaHCl2F
Source: Alexandria
Functional: PBE
Structure: relaxed Values from VASP.

Geometry as Quantum ESPRESSO input:
```
&SYSTEM
  ibrav = 0, nat = 5, ntyp = 4
/
ATOMIC_SPECIES
Cl 35.45 Cl.upf
F 19.00 F.upf
H 1.01 H.upf
Na 22.99 Na.upf
ATOMIC_POSITIONS crystal
Cl 0.500 0.000 0.000
F 0.000 0.000 0.000
H 0.500 0.500 0.500
Cl 0.000 0.000 0.500
Na 0.000 0.500 0.000
CELL_PARAMETERS angstrom
-2.335 3.444 2.464
-3.804 -1.258 -1.846
-0.739 -3.102 3.636
```

Output
space-group type: P4/mmm
total energy: -2.209 eV/atom

---

(2)
Compound: P2HClF
Source: Alexandria
Functional: PBE
Structure: relaxed Values from VASP.

Geometry as Quantum ESPRESSO input:
```
&SYSTEM
  ibrav = 0, nat = 5, ntyp = 4
/
ATOMIC_SPECIES
Cl 35.45 Cl.upf
P 30.97 P.upf
F 19.00 F.upf
H 1.01 H.upf
ATOMIC_POSITIONS crystal
Cl 0.000 0.000 0.500
P 0.500 0.000 0.000
P 0.000 0.500 0.000
F 0.500 0.500 0.500
H 0.000 0.000 0.000
CELL_PARAMETERS angstrom
3.814 0.000 0.000
0.000 3.814 0.000
0.000 0.000 4.345
```

Output
ΔE to the lowest computed polymorph: 0 meV/atom
space-group type: P4/mmm
total energy: -3.059 eV/atom

---

(3)
Compound: HPbClF2
Source: Alexandria
Functional: PBE
Structure: relaxed Values from VASP.

Geometry as Quantum ESPRESSO input:
```
&SYSTEM
  ibrav = 0, nat = 10, ntyp = 4
/
ATOMIC_SPECIES
F 19.00 F.upf
H 1.01 H.upf
Pb 207.20 Pb.upf
Cl 35.45 Cl.upf
ATOMIC_POSITIONS crystal
F 0.750 0.876 0.616
H 0.750 0.638 0.633
Pb 0.250 0.175 0.753
F 0.750 0.436 0.636
H 0.250 0.362 0.367
F 0.250 0.564 0.364
Cl 0.750 0.264 0.050
Pb 0.750 0.825 0.247
F 0.250 0.124 0.384
Cl 0.250 0.736 0.950
CELL_PARAMETERS angstrom
-3.442 0.966 2.281
-3.065 -1.506 -3.986
0.756 -6.300 3.807
```

Output
space-group type: P2_1/m
total energy: -4.255 eV/atom

---

(4)
Compound: PmHClF
Source: Alexandria
Functional: PBE
Structure: relaxed Values from VASP.

Geometry as Quantum ESPRESSO input:
```
&SYSTEM
  ibrav = 0, nat = 4, ntyp = 4
/
ATOMIC_SPECIES
Cl 35.45 Cl.upf
Pm 145.00 Pm.upf
H 1.01 H.upf
F 19.00 F.upf
ATOMIC_POSITIONS crystal
Cl 0.260 0.527 0.521
Pm 0.622 0.165 0.244
H 0.030 0.257 0.061
F 0.517 0.770 0.035
CELL_PARAMETERS angstrom
3.839 0.000 0.000
0.000 3.897 0.366
-1.919 1.466 5.312
```

Output
space-group type: Imm2
total energy: -5.101 eV/atom

---

(5)
Compound: PrHClF
Source: Alexandria
Functional: PBE
Structure: relaxed Values from VASP.

Geometry as Quantum ESPRESSO input:
```
&SYSTEM
  ibrav = 0, nat = 4, ntyp = 4
/
ATOMIC_SPECIES
F 19.00 F.upf
Cl 35.45 Cl.upf
Pr 140.91 Pr.upf
H 1.01 H.upf
ATOMIC_POSITIONS crystal
F 0.515 0.772 0.031
Cl 0.266 0.521 0.532
Pr 0.623 0.164 0.246
H 0.026 0.261 0.052
CELL_PARAMETERS angstrom
3.934 0.000 0.000
0.000 4.009 0.487
-1.967 1.412 5.118
```

Output
space-group type: Imm2
total energy: -5.091 eV/atom

---

(6)
Compound: RbHClF
Source: Alexandria
Functional: PBE
Structure: relaxed Values from VASP.

Geometry as Quantum ESPRESSO input:
```
&SYSTEM
  ibrav = 0, nat = 4, ntyp = 4
/
ATOMIC_SPECIES
F 19.00 F.upf
Rb 85.47 Rb.upf
Cl 35.45 Cl.upf
H 1.01 H.upf
ATOMIC_POSITIONS crystal
F 0.241 0.482 0.164
Rb 0.591 0.182 0.349
Cl 0.973 0.946 0.733
H 0.150 0.299 0.993
CELL_PARAMETERS angstrom
-0.357 4.332 -2.383
-3.433 -1.520 2.905
2.879 2.096 3.378
```

Output
space-group type: Cm
total energy: -3.801 eV/atom

---

(7)
Compound: Rb4HCl2F
Source: Alexandria
Functional: PBE
Structure: relaxed Values from VASP.

Geometry as Quantum ESPRESSO input:
```
&SYSTEM
  ibrav = 0, nat = 8, ntyp = 4
/
ATOMIC_SPECIES
H 1.01 H.upf
Cl 35.45 Cl.upf
Rb 85.47 Rb.upf
F 19.00 F.upf
ATOMIC_POSITIONS crystal
H 0.500 0.500 0.000
Cl 0.000 0.500 0.500
Rb 0.000 0.746 0.222
Rb 0.500 0.766 0.781
F 0.000 0.000 0.000
Cl 0.500 0.000 0.500
Rb 0.500 0.234 0.219
Rb 0.000 0.254 0.778
CELL_PARAMETERS angstrom
4.433 0.000 0.000
0.000 7.685 0.137
0.000 -2.684 7.287
```

Output
space-group type: P2/m
total energy: -3.257 eV/atom

---

(8)
Compound: Rb4H2ClF
Source: Alexandria
Functional: PBE
Structure: relaxed Values from VASP.

Geometry as Quantum ESPRESSO input:
```
&SYSTEM
  ibrav = 0, nat = 8, ntyp = 4
/
ATOMIC_SPECIES
Cl 35.45 Cl.upf
Rb 85.47 Rb.upf
H 1.01 H.upf
F 19.00 F.upf
ATOMIC_POSITIONS crystal
Cl 0.500 0.500 0.000
Rb 0.500 0.750 0.266
H 0.500 0.000 0.500
H 0.000 0.000 0.000
F 0.000 0.500 0.500
Rb 0.000 0.761 0.724
Rb 0.500 0.250 0.734
Rb 0.000 0.239 0.276
CELL_PARAMETERS angstrom
-0.846 -3.112 -2.913
4.711 -4.644 3.593
-3.826 -3.900 5.277
```

Output
space-group type: P2/m
total energy: -2.998 eV/atom

---

(9)
Compound: Rb3HClF
Source: Alexandria
Functional: PBE
Structure: relaxed Values from VASP.

Geometry as Quantum ESPRESSO input:
```
&SYSTEM
  ibrav = 0, nat = 12, ntyp = 4
/
ATOMIC_SPECIES
Rb 85.47 Rb.upf
H 1.01 H.upf
Cl 35.45 Cl.upf
F 19.00 F.upf
ATOMIC_POSITIONS crystal
Rb 0.750 0.036 0.162
Rb 0.750 0.562 0.164
H 0.250 0.763 0.050
H 0.750 0.237 0.950
Rb 0.250 0.778 0.483
Cl 0.750 0.653 0.691
Rb 0.250 0.438 0.836
Rb 0.750 0.222 0.517
F 0.750 0.869 0.358
F 0.250 0.131 0.642
Rb 0.250 0.964 0.838
Cl 0.250 0.347 0.309
CELL_PARAMETERS angstrom
4.371 0.000 0.000
0.000 7.571 0.199
0.000 -2.668 10.830
```

Output
space-group type: P2_1/m
total energy: -3.232 eV/atom

---

(10)
Compound: Rb4HClF2
Source: Alexandria
Functional: PBE
Structure: relaxed Values from VASP.

Geometry as Quantum ESPRESSO input:
```
&SYSTEM
  ibrav = 0, nat = 8, ntyp = 4
/
ATOMIC_SPECIES
Cl 35.45 Cl.upf
H 1.01 H.upf
Rb 85.47 Rb.upf
F 19.00 F.upf
ATOMIC_POSITIONS crystal
Cl 0.438 0.438 0.000
H 0.937 0.937 0.000
Rb 0.938 0.437 0.000
F 0.688 0.188 0.500
F 0.188 0.688 0.500
Rb 0.170 0.170 0.469
Rb 0.701 0.701 0.531
Rb 0.437 0.938 0.000
CELL_PARAMETERS angstrom
6.161 0.335 0.000
-0.336 6.161 0.000
-2.912 -3.248 6.005
```

Output
space-group type: Fmm2
total energy: -3.412 eV/atom

---

(11)
Compound: Rb8HCl4F3
Source: Alexandria
Functional: PBE
Structure: relaxed Values from VASP.

Geometry as Quantum ESPRESSO input:
```
&SYSTEM
  ibrav = 0, nat = 16, ntyp = 4
/
ATOMIC_SPECIES
Rb 85.47 Rb.upf
H 1.01 H.upf
Cl 35.45 Cl.upf
F 19.00 F.upf
ATOMIC_POSITIONS crystal
Rb 0.242 0.718 0.484
Rb 0.266 0.282 0.024
H 0.000 0.500 0.000
Cl 0.500 0.000 0.000
Rb 0.758 0.282 0.516
F 0.000 0.500 0.500
Rb 0.758 0.282 0.024
Rb 0.261 0.284 0.522
Cl 0.500 0.000 0.500
Rb 0.739 0.716 0.478
F 0.500 0.500 0.000
Cl 0.000 0.000 0.000
Cl 0.000 0.000 0.500
F 0.500 0.500 0.500
Rb 0.734 0.718 0.976
Rb 0.242 0.718 0.976
CELL_PARAMETERS angstrom
8.791 0.000 0.000
0.000 8.886 0.055
-4.395 -4.394 6.225
```

Output
space-group type: C2/m
total energy: -3.472 eV/atom

---

(12)
Compound: RbHCl2F8
Source: Alexandria
Functional: PBE
Structure: relaxed Values from VASP.

Geometry as Quantum ESPRESSO input:
```
&SYSTEM
  ibrav = 0, nat = 12, ntyp = 4
/
ATOMIC_SPECIES
F 19.00 F.upf
H 1.01 H.upf
Cl 35.45 Cl.upf
Rb 85.47 Rb.upf
ATOMIC_POSITIONS crystal
F 0.558 0.729 0.154
H 0.000 0.000 0.000
Cl 0.320 0.246 0.114
F 0.655 0.219 0.106
F 0.814 0.759 0.614
F 0.442 0.271 0.846
F 0.980 0.781 0.894
F 0.345 0.781 0.894
Rb 0.500 0.500 0.500
F 0.186 0.241 0.386
F 0.020 0.219 0.106
Cl 0.680 0.754 0.886
CELL_PARAMETERS angstrom
-3.740 -3.067 3.425
-1.686 -5.613 -1.740
3.178 -3.437 5.520
```

Output
space-group type: C2/m
total energy: -2.848 eV/atom